Entry 1:
This record from Alexandria describes SmCuGe at its PBEsol-relaxed geometry. The functional is SCAN.

Cell and atoms, written as POSCAR:
```
SmCuGe
1.0
4.1600 0.0000 0.0000
-2.0800 3.6027 0.0000
0.0000 0.0000 3.8956
Sm Cu Ge
1 1 1
Cartesian
0.0000 0.0000 0.0000 Sm
2.0800 1.2009 1.9478 Cu
0.0000 2.4018 1.9478 Ge
```

Values from the calculation:
As for the calculated volume: 58 Å³ per cell. For the total magnetization, the calculation gives 0.0 μB/f.u. For the formation energy, the calculation gives -727 meV per atom.

***

Entry 2:
This record from Alexandria describes SmCu2Ge2 at its PBEsol-relaxed geometry. The functional is SCAN.

Cell and atoms, written as POSCAR:
```
SmCu2Ge2
1.0
-2.0296 2.0296 5.0504
2.0296 -2.0296 5.0504
2.0296 2.0296 -5.0504
Sm Cu Ge
1 2 2
Cartesian
0.0000 0.0000 0.0000 Sm
2.0296 0.0000 2.5252 Cu
0.0000 2.0296 2.5252 Cu
0.0000 0.0000 3.8181 Ge
0.0000 0.0000 6.2826 Ge
```

Values from the calculation:
As for the calculated volume: 83 Å³ per cell. For the total magnetization, the calculation gives 0.0 μB/f.u. For the formation energy, the calculation gives -630 meV per atom.

***

Entry 3:
This record from Alexandria describes Cu6SnGe at its PBEsol-relaxed geometry. The functional is SCAN.

Cell and atoms, written as POSCAR:
```
Cu6SnGe
1.0
4.1878 0.0000 0.0000
0.0000 5.4090 0.0000
0.0000 0.0000 4.5603
Cu Sn Ge
6 1 1
Cartesian
0.0000 0.0000 0.0000 Cu
0.0000 1.2757 2.2867 Cu
0.0000 4.1334 2.2867 Cu
2.0939 1.2737 3.7657 Cu
2.0939 2.7045 1.6590 Cu
2.0939 4.1353 3.7657 Cu
0.0000 2.7045 4.5378 Sn
2.0939 0.0000 1.5120 Ge
```

Values from the calculation:
As for the calculated volume: 103 Å³ per cell. For the total magnetization, the calculation gives 0.0 μB/f.u. For the formation energy, the calculation gives 11 meV per atom.

***

Entry 4:
This record from Alexandria describes SrCu2Ge2 at its PBEsol-relaxed geometry. The functional is SCAN.

Cell and atoms, written as POSCAR:
```
SrCu2Ge2
1.0
-2.1026 2.1026 5.0678
2.1026 -2.1026 5.0678
2.1026 2.1026 -5.0678
Sr Cu Ge
1 2 2
Cartesian
0.0000 0.0000 0.0000 Sr
2.1026 0.0000 2.5339 Cu
0.0000 2.1026 2.5339 Cu
0.0000 0.0000 3.7833 Ge
0.0000 0.0000 6.3523 Ge
```

Values from the calculation:
As for the calculated volume: 90 Å³ per cell. For the total magnetization, the calculation gives 0.0 μB/f.u. For the formation energy, the calculation gives -434 meV per atom.

***

Entry 5:
This record from Alexandria describes SrCuGe at its PBEsol-relaxed geometry. The functional is SCAN.

Cell and atoms, written as POSCAR:
```
SrCuGe
1.0
4.1608 0.0000 0.0000
-2.0804 3.6034 0.0000
0.0000 0.0000 4.5138
Sr Cu Ge
1 1 1
Cartesian
0.0000 0.0000 0.0000 Sr
2.0804 1.2011 2.2569 Cu
0.0000 2.4023 2.2569 Ge
```

Values from the calculation:
As for the calculated volume: 68 Å³ per cell. For the total magnetization, the calculation gives 0.0 μB/f.u. For the formation energy, the calculation gives -464 meV per atom.

***

Entry 6:
This record from Alexandria describes SrCu9Ge4 at its PBEsol-relaxed geometry. The functional is SCAN.

Cell and atoms, written as POSCAR:
```
SrCu9Ge4
1.0
-4.0873 4.0873 5.8854
4.0873 -4.0873 5.8854
4.0873 4.0873 -5.8854
Sr Cu Ge
2 18 8
Cartesian
0.0000 0.0000 2.9427 Sr
0.0000 0.0000 8.8282 Sr
4.0873 0.0000 0.0000 Cu
3.1262 -0.9610 2.0996 Cu
6.5143 0.5076 0.0000 Cu
0.5076 1.6602 0.0000 Cu
5.0483 -0.9610 3.7859 Cu
5.0483 0.9610 2.0996 Cu
4.5949 2.4270 0.0000 Cu
2.4270 3.5796 0.0000 Cu
3.1262 0.9610 3.7859 Cu
0.0000 4.0873 0.0000 Cu
0.9610 3.1262 2.0996 Cu
1.6602 0.5076 5.8854 Cu
-0.5076 1.6602 5.8854 Cu
-0.9610 3.1262 3.7859 Cu
-0.9610 5.0483 2.0996 Cu
3.5796 2.4270 5.8854 Cu
-2.4270 3.5796 5.8854 Cu
0.9610 5.0483 3.7859 Cu
2.6238 1.4635 -1.4350 Ge
2.6238 -1.4635 4.4505 Ge
2.6238 1.4635 1.4350 Ge
2.6238 -1.4635 7.3204 Ge
1.4635 5.5507 -1.4350 Ge
1.4635 2.6238 4.4505 Ge
1.4635 5.5507 1.4350 Ge
1.4635 2.6238 7.3204 Ge
```

Values from the calculation:
As for the calculated volume: 393 Å³ per cell. For the total magnetization, the calculation gives 0.0 μB/f.u. For the formation energy, the calculation gives -221 meV per atom.

***

Entry 7:
This record from Alexandria describes TaCuGe3 at its PBEsol-relaxed geometry. The functional is SCAN.

Cell and atoms, written as POSCAR:
```
TaCuGe3
1.0
4.9274 0.0000 0.0000
0.0000 4.9274 0.0000
0.0000 0.0000 4.9274
Ta Cu Ge
1 1 3
Cartesian
0.0000 0.0000 0.0000 Ta
2.4637 2.4637 2.4637 Cu
0.0000 0.0000 2.4637 Ge
0.0000 2.4637 0.0000 Ge
2.4637 0.0000 0.0000 Ge
```

Values from the calculation:
As for the calculated volume: 120 Å³ per cell. For the total magnetization, the calculation gives 0.0 μB/f.u. For the formation energy, the calculation gives 868 meV per atom.

***

Entry 8:
This record from Alexandria describes TbCu2Ge2 at its PBEsol-relaxed geometry. The functional is SCAN.

Cell and atoms, written as POSCAR:
```
TbCu2Ge2
1.0
-2.0011 2.0011 5.0789
2.0011 -2.0011 5.0789
2.0011 2.0011 -5.0789
Tb Cu Ge
1 2 2
Cartesian
0.0000 0.0000 0.0000 Tb
2.0011 0.0000 2.5395 Cu
0.0000 2.0011 2.5395 Cu
0.0000 0.0000 3.8617 Ge
0.0000 0.0000 6.2962 Ge
```

Values from the calculation:
As for the calculated volume: 81 Å³ per cell. For the total magnetization, the calculation gives 0.0 μB/f.u. For the formation energy, the calculation gives -606 meV per atom.

***

Entry 9:
This record from Alexandria describes Tb2CuGe6 at its PBEsol-relaxed geometry. The functional is SCAN.

Cell and atoms, written as POSCAR:
```
Tb2CuGe6
1.0
4.0381 0.0000 0.0000
0.0000 1.9925 10.5629
0.0000 -1.9925 10.5629
Tb Cu Ge
2 1 6
Cartesian
0.0000 0.0000 0.0000 Tb
0.0000 0.0000 7.1053 Tb
2.0190 0.0000 16.4817 Cu
0.0000 0.0000 12.7423 Ge
0.0000 0.0000 15.2038 Ge
2.0190 0.0000 2.1659 Ge
2.0190 0.0000 4.6312 Ge
2.0190 0.0000 9.7483 Ge
2.0190 0.0000 18.7793 Ge
```

Values from the calculation:
As for the calculated volume: 170 Å³ per cell. For the total magnetization, the calculation gives 0.0 μB/f.u. For the formation energy, the calculation gives -491 meV per atom.

***

Entry 10:
This record from Alexandria describes CuGe2Te2 at its PBEsol-relaxed geometry. The functional is SCAN.

Cell and atoms, written as POSCAR:
```
CuGe2Te2
1.0
-2.7851 2.7851 3.7093
2.7851 -2.7851 3.7093
2.7851 2.7851 -3.7093
Cu Ge Te
1 2 2
Cartesian
0.0000 0.0000 0.0000 Cu
0.0000 0.0000 2.4158 Ge
0.0000 0.0000 5.0028 Ge
2.7851 0.0000 1.8546 Te
0.0000 2.7851 1.8546 Te
```

Values from the calculation:
As for the calculated volume: 115 Å³ per cell. For the total magnetization, the calculation gives 0.0 μB/f.u. The calculation puts the calculated total energy at -25.29 eV per atom.

***

Entry 11:
This record from Alexandria describes ThCu2Ge2 at its PBEsol-relaxed geometry. The functional is SCAN.

Cell and atoms, written as POSCAR:
```
ThCu2Ge2
1.0
-2.0708 2.0708 4.9810
2.0708 -2.0708 4.9810
2.0708 2.0708 -4.9810
Th Cu Ge
1 2 2
Cartesian
0.0000 0.0000 0.0000 Th
2.0708 0.0000 2.4905 Cu
0.0000 2.0708 2.4905 Cu
0.0000 0.0000 3.7409 Ge
0.0000 0.0000 6.2212 Ge
```

Values from the calculation:
As for the calculated volume: 85 Å³ per cell. For the total magnetization, the calculation gives 0.0 μB/f.u. For the formation energy, the calculation gives -534 meV per atom.

***

Entry 12:
This record from Alexandria describes Ti2CuGe2 at its PBEsol-relaxed geometry. The functional is SCAN.

Cell and atoms, written as POSCAR:
```
Ti2CuGe2
1.0
6.3182 0.0000 0.0000
0.0000 6.3182 0.0000
0.0000 0.0000 3.7267
Ti Cu Ge
4 2 4
Cartesian
1.0945 2.0646 0.0000 Ti
2.0646 5.2237 0.0000 Ti
4.2536 1.0945 0.0000 Ti
5.2237 4.2536 0.0000 Ti
0.0000 0.0000 1.8634 Cu
3.1591 3.1591 1.8634 Cu
0.8562 4.0153 1.8634 Ge
2.3029 0.8562 1.8634 Ge
4.0153 5.4621 1.8634 Ge
5.4621 2.3029 1.8634 Ge
```

Values from the calculation:
As for the calculated volume: 149 Å³ per cell. For the total magnetization, the calculation gives 0.0 μB/f.u. For the formation energy, the calculation gives -499 meV per atom.

***

Entry 13:
This record from Alexandria describes TlCu2Ge at its PBEsol-relaxed geometry. The functional is SCAN.

Cell and atoms, written as POSCAR:
```
TlCu2Ge
1.0
0.0000 3.1999 3.1999
3.1999 0.0000 3.1999
3.1999 3.1999 0.0000
Tl Cu Ge
1 2 1
Cartesian
0.0000 0.0000 0.0000 Tl
1.5999 1.5999 1.5999 Cu
4.7998 4.7998 4.7998 Cu
3.1999 3.1999 3.1999 Ge
```

Values from the calculation:
As for the calculated volume: 66 Å³ per cell. For the total magnetization, the calculation gives 0.0 μB/f.u. For the formation energy, the calculation gives 399 meV per atom.

***

Entry 14:
This record from Alexandria describes Tl3CuGe at its PBEsol-relaxed geometry. The functional is SCAN.

Cell and atoms, written as POSCAR:
```
Tl3CuGe
1.0
5.0639 0.0000 0.0000
0.0000 5.0639 0.0000
0.0000 0.0000 5.0639
Tl Cu Ge
3 1 1
Cartesian
0.0000 0.0000 2.5320 Tl
0.0000 2.5320 0.0000 Tl
2.5320 0.0000 0.0000 Tl
0.0000 0.0000 0.0000 Cu
2.5320 2.5320 2.5320 Ge
```

Values from the calculation:
As for the calculated volume: 130 Å³ per cell. For the total magnetization, the calculation gives 0.0 μB/f.u. For the formation energy, the calculation gives 450 meV per atom.

***

Entry 15:
This record from Alexandria describes Tm3Cu4Ge4 at its PBEsol-relaxed geometry. The functional is SCAN.

Cell and atoms, written as POSCAR:
```
Tm3Cu4Ge4
1.0
-2.0488 3.2577 6.7895
2.0488 -3.2577 6.7895
2.0488 3.2577 -6.7895
Tm Cu Ge
3 4 4
Cartesian
0.0000 0.0000 0.0000 Tm
2.0488 0.0000 5.0311 Tm
0.0000 3.2577 1.7584 Tm
2.0488 1.2449 -2.3054 Cu
2.0488 1.2449 2.3054 Cu
0.0000 2.0129 4.4842 Cu
0.0000 2.0129 9.0949 Cu
0.0000 0.0000 2.9427 Ge
2.0488 2.0007 0.0000 Ge
0.0000 1.2571 6.7895 Ge
0.0000 0.0000 10.6363 Ge
```

Values from the calculation:
As for the calculated volume: 181 Å³ per cell. For the total magnetization, the calculation gives 0.0 μB/f.u. For the formation energy, the calculation gives -714 meV per atom.

***

Entry 16:
This record from Alexandria describes TmCu2Ge2 at its PBEsol-relaxed geometry. The functional is SCAN.

Cell and atoms, written as POSCAR:
```
TmCu2Ge2
1.0
-1.9726 1.9726 5.1190
1.9726 -1.9726 5.1190
1.9726 1.9726 -5.1190
Tm Cu Ge
1 2 2
Cartesian
0.0000 0.0000 0.0000 Tm
1.9726 0.0000 2.5595 Cu
0.0000 1.9726 2.5595 Cu
0.0000 0.0000 3.9141 Ge
0.0000 0.0000 6.3240 Ge
```

Values from the calculation:
As for the calculated volume: 80 Å³ per cell. For the total magnetization, the calculation gives 0.0 μB/f.u. For the formation energy, the calculation gives -556 meV per atom.

***

Entry 17:
This record from Alexandria describes U3Cu4Ge4 at its PBEsol-relaxed geometry. The functional is SCAN.

Cell and atoms, written as POSCAR:
```
U3Cu4Ge4
1.0
-2.1411 3.1929 6.7670
2.1411 -3.1929 6.7670
2.1411 3.1929 -6.7670
U Cu Ge
3 4 4
Cartesian
0.0000 0.0000 0.0000 U
2.1411 0.0000 5.1000 U
0.0000 3.1929 1.6671 U
2.1411 1.2177 -2.3129 Cu
2.1411 1.2177 2.3129 Cu
0.0000 1.9751 4.4542 Cu
0.0000 1.9751 9.0799 Cu
0.0000 0.0000 2.9185 Ge
2.1411 1.9248 0.0000 Ge
0.0000 1.2680 6.7670 Ge
0.0000 0.0000 10.6156 Ge
```

Values from the calculation:
As for the calculated volume: 185 Å³ per cell. For the total magnetization, the calculation gives 7.6 μB/f.u. For the formation energy, the calculation gives -145 meV per atom.

***

Entry 18:
This record from Alexandria describes Y3Cu4Ge4 at its PBEsol-relaxed geometry. The functional is SCAN.

Cell and atoms, written as POSCAR:
```
Y3Cu4Ge4
1.0
-1.9709 2.0307 12.0955
1.9709 -2.0307 12.0955
1.9709 2.0307 -12.0955
Y Cu Ge
3 4 4
Cartesian
0.0000 0.0000 0.0000 Y
1.9709 0.0000 8.4735 Y
0.0000 2.0307 3.6219 Y
1.9709 0.0000 2.3232 Cu
0.0000 0.0000 6.0695 Cu
0.0000 0.0000 18.1214 Cu
0.0000 2.0307 9.7723 Cu
1.9709 0.0000 4.6527 Ge
0.0000 0.0000 10.8638 Ge
0.0000 0.0000 13.3271 Ge
0.0000 2.0307 7.4427 Ge
```

Values from the calculation:
As for the calculated volume: 194 Å³ per cell. For the total magnetization, the calculation gives 0.0 μB/f.u. For the formation energy, the calculation gives -719 meV per atom.

***

Entry 19:
This record from Alexandria describes YCuGe3 at its PBEsol-relaxed geometry. The functional is SCAN.

Cell and atoms, written as POSCAR:
```
YCuGe3
1.0
4.6604 0.0000 0.0000
0.0000 4.6604 0.0000
0.0000 0.0000 4.6604
Y Cu Ge
1 1 3
Cartesian
0.0000 0.0000 0.0000 Y
2.3302 2.3302 2.3302 Cu
0.0000 2.3302 2.3302 Ge
2.3302 0.0000 2.3302 Ge
2.3302 2.3302 0.0000 Ge
```

Values from the calculation:
As for the calculated volume: 101 Å³ per cell. For the total magnetization, the calculation gives 0.0 μB/f.u. For the formation energy, the calculation gives 16 meV per atom.

***

Entry 20:
This record from Alexandria describes Zr3CuGe at its PBEsol-relaxed geometry. The functional is SCAN.

Cell and atoms, written as POSCAR:
```
Zr3CuGe
1.0
4.7943 0.0000 0.0000
0.0000 4.7943 0.0000
0.0000 0.0000 4.7943
Zr Cu Ge
3 1 1
Cartesian
0.0000 0.0000 2.3971 Zr
0.0000 2.3971 0.0000 Zr
2.3971 0.0000 0.0000 Zr
0.0000 0.0000 0.0000 Cu
2.3971 2.3971 2.3971 Ge
```

Values from the calculation:
As for the calculated volume: 110 Å³ per cell. For the total magnetization, the calculation gives 0.0 μB/f.u. For the formation energy, the calculation gives 252 meV per atom.